(1)
Entry from the Alexandria database: PmPrTe after structural relaxation (PBE).

```
data_PmPrTe
_chemical_formula_sum 'Pm1 Pr1 Te1'
_symmetry_space_group_name_H-M 'P 1'
_symmetry_Int_Tables_number 1
_cell_length_a 7.1050
_cell_length_b 4.1490
_cell_length_c 4.1490
_cell_angle_alpha 120.00
_cell_angle_beta 90.00
_cell_angle_gamma 90.00
loop_
_symmetry_equiv_pos_as_xyz
'x,y,z'
loop_
_atom_site_label
_atom_site_type_symbol
_atom_site_fract_x
_atom_site_fract_y
_atom_site_fract_z
_atom_site_occupancy
Pr1 Pr 0.2954 0.3333 0.6667 1
Te1 Te 0.9967 0.0000 0.0000 1
Pm1 Pm 0.7079 0.6667 0.3333 1
```

E_tot = -5.032 eV per atom
energy above the most stable polymorph in this dataset = 0.000 eV/atom
formation energy (no corrections) = -234 kJ/mol of formula units
crystal system = trigonal

***

(2)
Entry from the Alexandria database: Pm2PrTe after structural relaxation (PBE).

```
data_Pm2PrTe
_chemical_formula_sum 'Pm2 Pr1 Te1'
_symmetry_space_group_name_H-M 'P 1'
_symmetry_Int_Tables_number 1
_cell_length_a 3.9701
_cell_length_b 3.9701
_cell_length_c 10.4231
_cell_angle_alpha 79.02
_cell_angle_beta 79.02
_cell_angle_gamma 60.00
loop_
_symmetry_equiv_pos_as_xyz
'x,y,z'
loop_
_atom_site_label
_atom_site_type_symbol
_atom_site_fract_x
_atom_site_fract_y
_atom_site_fract_z
_atom_site_occupancy
Pr1 Pr 0.5000 0.5000 0.5000 1
Te1 Te 0.0000 0.0000 0.0000 1
Pm1 Pm 0.2628 0.2628 0.2116 1
Pm2 Pm 0.7372 0.7372 0.7884 1
```

E_tot = -4.926 eV per atom
energy above the most stable polymorph in this dataset = 0.125 eV/atom
formation energy (no corrections) = -220 kJ/mol of formula units
crystal system = trigonal

***

(3)
Entry from the Alexandria database: PmPr2Te after structural relaxation (PBE).

```
data_PmPr2Te
_chemical_formula_sum 'Pm2 Pr4 Te2'
_symmetry_space_group_name_H-M 'P 1'
_symmetry_Int_Tables_number 1
_cell_length_a 3.9852
_cell_length_b 7.3535
_cell_length_c 10.0728
_cell_angle_alpha 75.38
_cell_angle_beta 90.00
_cell_angle_gamma 89.79
loop_
_symmetry_equiv_pos_as_xyz
'x,y,z'
loop_
_atom_site_label
_atom_site_type_symbol
_atom_site_fract_x
_atom_site_fract_y
_atom_site_fract_z
_atom_site_occupancy
Pm1 Pm 0.4660 0.9326 0.2275 1
Pm2 Pm 0.4730 0.4747 0.2283 1
Pr1 Pr 0.9686 0.8037 0.9522 1
Pr2 Pr 0.9706 0.6037 0.5035 1
Pr3 Pr 0.4689 0.3099 0.9372 1
Pr4 Pr 0.4707 0.0978 0.5185 1
Te1 Te 0.9698 0.2037 0.7279 1
Te2 Te 0.4696 0.7038 0.7278 1
```

E_tot = -4.887 eV per atom
energy above the most stable polymorph in this dataset = 0.066 eV/atom
formation energy (no corrections) = -202 kJ/mol of formula units
crystal system = triclinic